[1]
{"formula": "Pr2Y6Ho3Pu", "functional": "GGA-PBE", "state": "optimized geometry", "cell": [[6.1962, -0.0030, -0.0180], [-3.0992, 5.3654, -0.0180], [-1.0036, -1.7377, 11.6234]], "species": ["Y", "Y", "Y", "Y", "Y", "Y", "Pr", "Pr", "Ho", "Ho", "Ho", "Pu"], "fractional_positions": [[0.9165, 0.5873, 0.7483], [0.5873, 0.9165, 0.7483], [0.0835, 0.4127, 0.2517], [0.7544, 0.7544, 0.2519], [0.2456, 0.2456, 0.7481], [0.4127, 0.0835, 0.2517], [0.3335, 0.6665, 0.0000], [0.6665, 0.3335, 0.0000], [0.8332, 0.1668, 0.5000], [0.1668, 0.8332, 0.5000], [0.5000, 0.5000, 0.5000], [0.0000, 0.0000, 0.0000]], "ef_ev_per_atom": 0.054}

[2]
{"formula": "Pr2Y3Ho6Pu", "functional": "GGA-PBE", "state": "optimized geometry", "cell": [[6.1723, -0.0030, -0.0048], [-3.0872, 5.3448, -0.0048], [-1.0240, -1.7731, 11.5704]], "species": ["Ho", "Ho", "Ho", "Ho", "Ho", "Ho", "Y", "Y", "Y", "Pr", "Pr", "Pu"], "fractional_positions": [[0.4124, 0.0836, 0.2504], [0.0836, 0.4124, 0.2504], [0.2451, 0.2451, 0.7494], [0.9164, 0.5876, 0.7496], [0.7549, 0.7549, 0.2506], [0.5876, 0.9164, 0.7496], [0.5000, 0.5000, 0.5000], [0.8332, 0.1668, 0.5000], [0.1668, 0.8332, 0.5000], [0.3335, 0.6665, 0.0000], [0.6665, 0.3335, 0.0000], [0.0000, 0.0000, 0.0000]], "ef_ev_per_atom": 0.053}

[3]
{"formula": "RbPr2Ho", "functional": "GGA-PBE", "state": "optimized geometry", "cell": [[3.7114, 0.0000, 0.0000], [1.8557, 3.2141, 0.0000], [1.8557, 1.0714, 13.5762]], "species": ["Ho", "Rb", "Pr", "Pr"], "fractional_positions": [[0.5000, 0.5000, 0.5000], [0.0000, 0.0000, 0.0000], [0.9034, 0.9034, 0.2897], [0.0966, 0.0966, 0.7103]], "ef_ev_per_atom": 0.235}

[4]
{"formula": "Rb4Pr3HoS8", "functional": "GGA-PBE", "state": "optimized geometry", "cell": [[8.4197, 0.0000, 0.0000], [0.0000, 9.1129, 0.4793], [-4.2098, -4.2051, 5.9571]], "species": ["Rb", "Rb", "Rb", "Rb", "S", "S", "S", "S", "S", "S", "S", "S", "Ho", "Pr", "Pr", "Pr"], "fractional_positions": [[0.0000, 0.0000, 0.0000], [0.0000, 0.0000, 0.5000], [0.5000, 0.0000, 0.5000], [0.5000, 0.0000, 0.0000], [0.7731, 0.3046, 0.5463], [0.7732, 0.3046, 0.0313], [0.2582, 0.3046, 0.0313], [0.2269, 0.6954, 0.4537], [0.7333, 0.6999, 0.4667], [0.2667, 0.3001, 0.5333], [0.2268, 0.6954, 0.9687], [0.7418, 0.6954, 0.9687], [0.0000, 0.5000, 0.0000], [0.0000, 0.5000, 0.5000], [0.5000, 0.5000, 0.0000], [0.5000, 0.5000, 0.5000]], "raw_formation_energy_ev_per_atom": -1.82}

[5]
{"formula": "Rb3Pr2HoS6", "functional": "GGA-PBE", "state": "optimized geometry", "cell": [[7.2632, -0.0009, -0.0001], [-3.6306, 6.2906, -0.0001], [-1.2117, -2.0980, 7.7156]], "species": ["S", "S", "S", "S", "S", "S", "Rb", "Rb", "Rb", "Ho", "Pr", "Pr"], "fractional_positions": [[0.9347, 0.6124, 0.8042], [0.2568, 0.2568, 0.8040], [0.3876, 0.0653, 0.1958], [0.0653, 0.3876, 0.1958], [0.7432, 0.7432, 0.1960], [0.6124, 0.9347, 0.8042], [0.1677, 0.8323, 0.5000], [0.8323, 0.1677, 0.5000], [0.5000, 0.5000, 0.5000], [0.0000, 0.0000, 0.0000], [0.3334, 0.6666, 0.0000], [0.6666, 0.3334, 0.0000]], "raw_formation_energy_ev_per_atom": -1.82}

[6]
{"formula": "Rb2PrHoSe4", "functional": "GGA-PBE", "state": "optimized geometry", "cell": [[4.3186, 0.0000, 0.0000], [0.0000, 7.4815, 0.1276], [0.0000, -2.6258, 7.9703]], "species": ["Se", "Se", "Se", "Se", "Pr", "Ho", "Rb", "Rb"], "fractional_positions": [[0.0000, 0.7432, 0.2003], [0.0000, 0.2568, 0.7997], [0.5000, 0.2227, 0.1962], [0.5000, 0.7773, 0.8038], [0.5000, 0.5000, 0.0000], [0.0000, 0.0000, 0.0000], [0.5000, 0.0000, 0.5000], [0.0000, 0.5000, 0.5000]], "raw_formation_energy_ev_per_atom": -1.73}

[7]
{"formula": "Rb4PrHo3Se8", "functional": "GGA-PBE", "state": "optimized geometry", "cell": [[-0.4628, 6.4999, -5.5275], [1.3038, -5.9797, -7.1408], [-6.5364, -1.6037, 5.2662]], "species": ["Rb", "Rb", "Rb", "Rb", "Se", "Se", "Se", "Se", "Se", "Se", "Se", "Se", "Pr", "Ho", "Ho", "Ho"], "fractional_positions": [[0.5000, 0.0000, 0.5000], [0.0000, 0.0000, 0.0000], [0.5000, 0.0000, 0.0000], [0.0000, 0.0000, 0.5000], [0.2373, 0.6973, 0.4747], [0.2373, 0.6973, 0.9602], [0.7229, 0.6973, 0.9602], [0.7627, 0.3027, 0.0398], [0.2771, 0.3027, 0.0398], [0.2687, 0.3064, 0.5374], [0.7313, 0.6936, 0.4626], [0.7627, 0.3027, 0.5253], [0.0000, 0.5000, 0.0000], [0.0000, 0.5000, 0.5000], [0.5000, 0.5000, 0.0000], [0.5000, 0.5000, 0.5000]], "raw_formation_energy_ev_per_atom": -1.73}

[8]
{"formula": "Rb3Pr2HoSe6", "functional": "GGA-PBE", "state": "optimized geometry", "cell": [[7.5330, -0.0013, -0.0004], [-3.7658, 6.5242, -0.0004], [-1.2569, -2.1763, 8.0220]], "species": ["Rb", "Rb", "Rb", "Se", "Se", "Se", "Se", "Se", "Se", "Pr", "Pr", "Ho"], "fractional_positions": [[0.8315, 0.1685, 0.5000], [0.1685, 0.8315, 0.5000], [0.5000, 0.5000, 0.5000], [0.3893, 0.0664, 0.1994], [0.9336, 0.6107, 0.8006], [0.7440, 0.7440, 0.1999], [0.0664, 0.3893, 0.1994], [0.2560, 0.2560, 0.8001], [0.6107, 0.9336, 0.8006], [0.3335, 0.6665, 0.0000], [0.6665, 0.3335, 0.0000], [0.0000, 0.0000, 0.0000]], "raw_formation_energy_ev_per_atom": -1.73}

[9]
{"formula": "Rb3Pr3HoSe8", "functional": "GGA-PBE", "state": "optimized geometry", "cell": [[-7.0932, -2.5671, -4.2364], [1.1510, -2.2621, 8.2730], [-2.2906, 9.1525, -1.7087]], "species": ["Pr", "Pr", "Pr", "Se", "Se", "Se", "Se", "Se", "Se", "Se", "Se", "Ho", "Rb", "Rb", "Rb"], "fractional_positions": [[0.0000, 0.5000, 0.5000], [0.5000, 0.5000, 0.5000], [0.5000, 0.0000, 0.5000], [0.2656, 0.5313, 0.2971], [0.7743, 0.0314, 0.3058], [0.7742, 0.5485, 0.3058], [0.2257, 0.9686, 0.6942], [0.2258, 0.4515, 0.6942], [0.7430, 0.9686, 0.6942], [0.2570, 0.0314, 0.3058], [0.7344, 0.4687, 0.7029], [0.0000, 0.0000, 0.5000], [0.5000, 0.5000, 0.0000], [0.0000, 0.5000, 0.0000], [0.0000, 0.0000, 0.0000]], "raw_formation_energy_ev_per_atom": -1.65}

[10]
{"formula": "RbPrHo4Se8", "functional": "GGA-PBE", "state": "optimized geometry", "cell": [[-6.7675, 3.2507, 4.1564], [-3.6864, -4.4549, 6.3408], [0.9521, 2.7268, 8.2763]], "species": ["Ho", "Ho", "Ho", "Ho", "Se", "Se", "Se", "Se", "Se", "Se", "Se", "Se", "Rb", "Pr"], "fractional_positions": [[0.0040, 0.4871, 0.5050], [0.6259, 0.6259, 0.1222], [0.0040, 0.0040, 0.5050], [0.4871, 0.0040, 0.5050], [0.2318, 0.7527, 0.2628], [0.7527, 0.7527, 0.2628], [0.2408, 0.7994, 0.7190], [0.7527, 0.2318, 0.2628], [0.2408, 0.2408, 0.7190], [0.2298, 0.2298, 0.3107], [0.7994, 0.2408, 0.7190], [0.7571, 0.7571, 0.7288], [0.3685, 0.3685, 0.8945], [0.0055, 0.0055, 0.9835]], "raw_formation_energy_ev_per_atom": -1.71}

[11]
{"formula": "Rb3Pr3HoTe8", "functional": "GGA-PBE", "state": "optimized geometry", "cell": [[-7.3955, 4.6737, 2.5074], [3.8981, -5.8142, 5.8226], [5.0181, 8.8341, -1.6676]], "species": ["Te", "Te", "Te", "Te", "Te", "Te", "Te", "Te", "Ho", "Rb", "Rb", "Rb", "Pr", "Pr", "Pr"], "fractional_positions": [[0.7711, 0.5423, 0.2992], [0.7711, 0.0279, 0.2992], [0.2289, 0.9721, 0.7008], [0.2567, 0.0279, 0.2992], [0.7433, 0.9721, 0.7008], [0.2640, 0.5280, 0.2922], [0.2289, 0.4577, 0.7008], [0.7360, 0.4720, 0.7078], [0.0000, 0.0000, 0.5000], [0.0000, 0.0000, 0.0000], [0.5000, 0.5000, 0.0000], [0.0000, 0.5000, 0.0000], [0.0000, 0.5000, 0.5000], [0.5000, 0.5000, 0.5000], [0.5000, 0.0000, 0.5000]], "raw_formation_energy_ev_per_atom": -1.32}

[12]
{"formula": "Rb3PrHo2Te6", "functional": "GGA-PBE", "state": "optimized geometry", "cell": [[-0.1735, -4.9143, 6.2000], [6.9380, 2.3400, -3.0016], [-2.2197, 7.5671, 4.2503]], "species": ["Te", "Te", "Te", "Te", "Te", "Te", "Pr", "Rb", "Rb", "Rb", "Ho", "Ho"], "fractional_positions": [[0.2766, 0.2766, 0.7997], [0.0671, 0.4104, 0.2011], [0.5896, 0.9329, 0.7989], [0.4104, 0.0671, 0.2011], [0.7234, 0.7234, 0.2003], [0.9329, 0.5896, 0.7989], [0.0000, 0.0000, 0.0000], [0.8359, 0.1641, 0.5000], [0.5000, 0.5000, 0.5000], [0.1641, 0.8359, 0.5000], [0.6670, 0.3330, 0.0000], [0.3330, 0.6670, 0.0000]], "raw_formation_energy_ev_per_atom": -1.39}

| no. | DFT total energy (hartree per atom) |
| --- | --- |
| 1 | -0.232 |
| 2 | -0.215 |
| 3 | -0.130 |
| 4 | -0.195 |
| 5 | -0.195 |
| 6 | -0.179 |
| 7 | -0.179 |
| 8 | -0.180 |
| 9 | -0.182 |
| 10 | -0.199 |
| 11 | -0.164 |
| 12 | -0.160 |